First-principles (PBE-GGA) data for crystalline CaNiOs at its relaxed geometry, as listed in Alexandria.

a b c (Å): 10.3414 9.2878 5.6654
angles (deg): 83.77 63.23 33.00
Element x y z (fractional)
Ca (0.0236, 0.7240, 0.2760)
Ca (0.2760, 0.9764, 0.0236)
Ca (0.7240, 0.0236, 0.9764)
Ca (0.9764, 0.2760, 0.7240)
Ni (0.1660, 0.3966, 0.6034)
Ni (0.3966, 0.1660, 0.8340)
Ni (0.6034, 0.8340, 0.1660)
Ni (0.8340, 0.6034, 0.3966)
Os (0.3245, 0.6755, 0.3245)
Os (0.4071, 0.4071, 0.5929)
Os (0.5929, 0.5929, 0.4071)
Os (0.6755, 0.3245, 0.6755)

Raw total energy ... -5.9843 eV/atom
Density of states at the Fermi level ... 1.17 states/eV/atom
Polymorph energy (0 for the lowest one) ... 59.2 meV/atom

***

First-principles (PBE-GGA) data for crystalline CaNiOs at its relaxed geometry, as listed in Alexandria.

a b c (Å): 2.8725 2.8725 6.8894
angles (deg): 90.00 90.00 120.00
Element x y z (fractional)
Ca (0.0000, 0.0000, 0.0000)
Ni (0.6667, 0.3333, 0.3528)
Os (0.3333, 0.6667, 0.6325)

Raw total energy ... -5.6729 eV/atom
Density of states at the Fermi level ... 0.71 states/eV/atom
Polymorph energy (0 for the lowest one) ... 370.6 meV/atom

***

First-principles (PBE-GGA) data for crystalline Ca2NiOsPt at its relaxed geometry, as listed in Alexandria.

a b c (Å): 5.0902 5.0902 4.4193
angles (deg): 90.00 90.00 90.00
Element x y z (fractional)
Ca (0.0000, 0.5000, 0.0000)
Ca (0.5000, 0.0000, 0.0000)
Ni (0.0000, 0.0000, 0.0000)
Os (0.0000, 0.0000, 0.5000)
Pt (0.5000, 0.5000, 0.5000)

Raw total energy ... -4.8978 eV/atom
Density of states at the Fermi level ... 0.87 states/eV/atom

***

First-principles (PBE-GGA) data for crystalline CaNiOsRu2 at its relaxed geometry, as listed in Alexandria.

a b c (Å): 4.5533 4.5533 4.5285
angles (deg): 90.00 90.00 90.00
Element x y z (fractional)
Ca (0.0000, 0.0000, 0.0000)
Ni (0.5000, 0.5000, 0.5000)
Os (0.5000, 0.5000, 0.0000)
Ru (0.0000, 0.5000, 0.5000)
Ru (0.5000, 0.0000, 0.5000)

Raw total energy ... -6.3564 eV/atom
Density of states at the Fermi level ... 1.47 states/eV/atom

***

no.,energy of formation (eV per atom)
1,0.353
2,0.665
3,0.513
4,1.156